Computed, not measured: a relaxed CeSm2AlC crystal at the GGA-PBE level of DFT.

CIF file:
```
data_CeSm2AlC
_chemical_formula_sum 'Ce1 Sm2 Al1 C1'
_symmetry_space_group_name_H-M 'P 1'
_symmetry_Int_Tables_number 1
_symmetry_space_group_name_Hall 'P 1'
_cell_length_a 4.851
_cell_length_b 5.052
_cell_length_c 5.052
_cell_angle_alpha 90.00
_cell_angle_beta 90.00
_cell_angle_gamma 90.00
loop_
_atom_site_label
_atom_site_type_symbol
_atom_site_fract_x
_atom_site_fract_y
_atom_site_fract_z
Ce1 Ce 0.500 0.000 0.000
C1 C 0.000 0.000 0.000
Sm1 Sm 0.000 0.500 0.000
Al1 Al 0.500 0.500 0.500
Sm2 Sm 0.000 0.000 0.500
```

=====

Computed, not measured: a relaxed Tb2CeAlC crystal at the GGA-PBE level of DFT.

CIF file:
```
data_Tb2CeAlC
_chemical_formula_sum 'Tb2 Ce1 Al1 C1'
_symmetry_space_group_name_H-M 'P 1'
_symmetry_Int_Tables_number 1
_symmetry_space_group_name_Hall 'P 1'
_cell_length_a 4.849
_cell_length_b 4.944
_cell_length_c 4.944
_cell_angle_alpha 90.00
_cell_angle_beta 90.00
_cell_angle_gamma 90.00
loop_
_atom_site_label
_atom_site_type_symbol
_atom_site_fract_x
_atom_site_fract_y
_atom_site_fract_z
Al1 Al 0.500 0.500 0.500
Tb1 Tb 0.000 0.500 0.000
C1 C 0.000 0.000 0.000
Ce1 Ce 0.500 0.000 0.000
Tb2 Tb 0.000 0.000 0.500
```

=====

Computed, not measured: a relaxed Ce2Al2Tc2C crystal at the GGA-PBE level of DFT.

CIF file:
```
data_Ce2Al2Tc2C
_chemical_formula_sum 'Ce2 Al2 Tc2 C1'
_symmetry_space_group_name_H-M 'P 1'
_symmetry_Int_Tables_number 1
_symmetry_space_group_name_Hall 'P 1'
_cell_length_a 3.458
_cell_length_b 6.086
_cell_length_c 6.411
_cell_angle_alpha 74.58
_cell_angle_beta 90.00
_cell_angle_gamma 73.51
loop_
_atom_site_label
_atom_site_type_symbol
_atom_site_fract_x
_atom_site_fract_y
_atom_site_fract_z
C1 C 0.000 0.000 0.000
Al1 Al 0.205 0.590 0.639
Al2 Al 0.795 0.410 0.361
Ce1 Ce 0.495 0.009 0.715
Tc1 Tc 0.176 0.647 0.073
Tc2 Tc 0.824 0.353 0.927
Ce2 Ce 0.505 0.991 0.285
```

=====

Computed, not measured: a relaxed CeAl2Tc2C crystal at the GGA-PBE level of DFT.

CIF file:
```
data_CeAl2Tc2C
_chemical_formula_sum 'Ce1 Al2 Tc2 C1'
_symmetry_space_group_name_H-M 'P 1'
_symmetry_Int_Tables_number 1
_symmetry_space_group_name_Hall 'P 1'
_cell_length_a 4.203
_cell_length_b 4.203
_cell_length_c 5.515
_cell_angle_alpha 90.00
_cell_angle_beta 90.00
_cell_angle_gamma 90.00
loop_
_atom_site_label
_atom_site_type_symbol
_atom_site_fract_x
_atom_site_fract_y
_atom_site_fract_z
Tc1 Tc 0.000 0.500 0.000
Al1 Al 0.500 0.500 0.732
Tc2 Tc 0.500 0.000 0.000
C1 C 0.000 0.000 0.000
Ce1 Ce 0.000 0.000 0.500
Al2 Al 0.500 0.500 0.268
```

=====

Computed, not measured: a relaxed Ce2TmAlC crystal at the GGA-PBE level of DFT.

CIF file:
```
data_Ce2TmAlC
_chemical_formula_sum 'Ce2 Tm1 Al1 C1'
_symmetry_space_group_name_H-M 'P 1'
_symmetry_Int_Tables_number 1
_symmetry_space_group_name_Hall 'P 1'
_cell_length_a 4.850
_cell_length_b 4.910
_cell_length_c 4.910
_cell_angle_alpha 90.00
_cell_angle_beta 90.00
_cell_angle_gamma 90.00
loop_
_atom_site_label
_atom_site_type_symbol
_atom_site_fract_x
_atom_site_fract_y
_atom_site_fract_z
Ce1 Ce 0.000 0.500 0.000
Ce2 Ce 0.000 0.000 0.500
Tm1 Tm 0.500 0.000 0.000
Al1 Al 0.500 0.500 0.500
C1 C 0.000 0.000 0.000
```

=====

Computed, not measured: a relaxed Ce2YAlC crystal at the GGA-PBE level of DFT.

CIF file:
```
data_Ce2YAlC
_chemical_formula_sum 'Ce2 Y1 Al1 C1'
_symmetry_space_group_name_H-M 'P 1'
_symmetry_Int_Tables_number 1
_symmetry_space_group_name_Hall 'P 1'
_cell_length_a 4.945
_cell_length_b 4.908
_cell_length_c 4.908
_cell_angle_alpha 90.00
_cell_angle_beta 90.00
_cell_angle_gamma 90.00
loop_
_atom_site_label
_atom_site_type_symbol
_atom_site_fract_x
_atom_site_fract_y
_atom_site_fract_z
Ce1 Ce 0.000 0.500 0.000
Ce2 Ce 0.000 0.000 0.500
Al1 Al 0.500 0.500 0.500
C1 C 0.000 0.000 0.000
Y1 Y 0.500 0.000 0.000
```

=====

| no. | energy of formation from the pure elements (kcal/mol of atoms) |
| --- | --- |
| 1 | -5.727 |
| 2 | -7.090 |
| 3 | -6.353 |
| 4 | -8.819 |
| 5 | -6.225 |
| 6 | -6.124 |